No. 1
Material: Cs4AlTl5
Method: DFT, PBE
State: optimized geometry

a b c (Å): 9.183 9.183 9.183
angles (deg): 98.56 98.56 134.61
Fractional positions:
1 Cs 0.104 0.701 0.805
2 Cs 0.299 0.104 0.403
3 Cs 0.701 0.896 0.597
4 Cs 0.896 0.299 0.195
5 Al 0.221 0.221 0.000
6 Tl 0.314 0.440 0.766
7 Tl 0.440 0.675 0.126
8 Tl 0.548 0.314 0.874
9 Tl 0.675 0.548 0.234
10 Tl 0.825 0.825 0.000

## Properties
Crystal system: tetragonal
Formation energy from the elements in eV/atom: -0.0405

=====

No. 2
Material: Cs3AlTl
Method: DFT, PBE
State: optimized geometry

a b c (Å): 7.273 7.273 7.273
angles (deg): 90.00 90.00 90.00
Fractional positions:
1 Cs 0.000 0.000 0.500
2 Cs 0.000 0.500 0.000
3 Cs 0.500 0.000 0.000
4 Al 0.000 0.000 0.000
5 Tl 0.500 0.500 0.500

## Properties
Crystal system: cubic
Formation energy from the elements in eV/atom: 0.4568
E above lowest polymorph in eV/atom: 0.000

=====

No. 3
Material: CsAl2Tl2
Method: DFT, PBE
State: optimized geometry

a b c (Å): 9.307 9.307 3.502
angles (deg): 90.00 90.00 90.00
Fractional positions:
1 Cs 0.000 0.000 0.000
2 Cs 0.500 0.500 0.000
3 Al 0.113 0.387 0.000
4 Al 0.387 0.887 0.000
5 Al 0.613 0.113 0.000
6 Al 0.887 0.613 0.000
7 Tl 0.162 0.662 0.500
8 Tl 0.338 0.162 0.500
9 Tl 0.662 0.838 0.500
10 Tl 0.838 0.338 0.500

## Properties
Crystal system: tetragonal
Formation energy from the elements in eV/atom: 0.2359
E above lowest polymorph in eV/atom: 0.115

=====

No. 4
Material: CsAl3Tl
Method: DFT, PBE
State: optimized geometry

a b c (Å): 6.095 6.095 6.095
angles (deg): 90.00 90.00 90.00
Fractional positions:
1 Cs 0.000 0.000 0.000
2 Al 0.000 0.000 0.500
3 Al 0.000 0.500 0.000
4 Al 0.500 0.000 0.000
5 Tl 0.500 0.500 0.500

## Properties
Crystal system: cubic
Formation energy from the elements in eV/atom: 1.5429
E above lowest polymorph in eV/atom: 0.836

=====

No. 5
Material: CsAl2Tl2
Method: DFT, PBE
State: optimized geometry

a b c (Å): 7.358 7.358 7.358
angles (deg): 141.26 141.26 55.95
Fractional positions:
1 Cs 0.000 0.000 0.000
2 Al 0.250 0.750 0.500
3 Al 0.750 0.250 0.500
4 Tl 0.374 0.374 0.000
5 Tl 0.626 0.626 0.000

## Properties
Crystal system: tetragonal
Formation energy from the elements in eV/atom: 0.1383
E above lowest polymorph in eV/atom: 0.017

=====

No. 6
Material: Cs5AlTl6
Method: DFT, PBE
State: optimized geometry

a b c (Å): 9.293 9.293 9.036
angles (deg): 100.70 100.70 119.24
Fractional positions:
1 Cs 0.000 0.000 0.000
2 Cs 0.158 0.842 0.500
3 Cs 0.309 0.691 0.000
4 Cs 0.691 0.309 0.000
5 Cs 0.842 0.158 0.500
6 Al 0.500 0.500 0.500
7 Tl 0.201 0.447 0.319
8 Tl 0.346 0.346 0.704
9 Tl 0.447 0.201 0.319
10 Tl 0.553 0.799 0.681
11 Tl 0.654 0.654 0.296
12 Tl 0.799 0.553 0.681

## Properties
Crystal system: monoclinic
Formation energy from the elements in eV/atom: -0.0344

=====

No. 7
Material: CsAl2Tl4
Method: DFT, PBE
State: optimized geometry

a b c (Å): 9.092 9.092 9.092
angles (deg): 137.93 137.93 61.02
Fractional positions:
1 Cs 0.000 0.000 0.000
2 Al 0.419 0.419 0.000
3 Al 0.581 0.581 0.000
4 Tl 0.000 0.500 0.500
5 Tl 0.238 0.238 0.000
6 Tl 0.500 0.000 0.500
7 Tl 0.762 0.762 0.000

## Properties
Crystal system: tetragonal
Formation energy from the elements in eV/atom: 0.6355

=====

No. 8
Material: CsAl2Tl2
Method: DFT, PBE
State: optimized geometry

a b c (Å): 6.965 6.965 6.965
angles (deg): 137.14 137.14 62.22
Fractional positions:
1 Cs 0.000 0.000 0.000
2 Al 0.386 0.386 0.000
3 Al 0.614 0.614 0.000
4 Tl 0.250 0.750 0.500
5 Tl 0.750 0.250 0.500

## Properties
Crystal system: tetragonal
Formation energy from the elements in eV/atom: 0.1214
E above lowest polymorph in eV/atom: 0.000

=====

No. 9
Material: CsAl2Tl2
Method: DFT, PBE
State: optimized geometry

a b c (Å): 9.429 9.429 3.424
angles (deg): 90.00 90.00 90.00
Fractional positions:
1 Cs 0.000 0.000 0.000
2 Cs 0.500 0.500 0.000
3 Al 0.137 0.363 0.500
4 Al 0.363 0.863 0.500
5 Al 0.637 0.137 0.500
6 Al 0.863 0.637 0.500
7 Tl 0.143 0.643 0.000
8 Tl 0.357 0.143 0.000
9 Tl 0.643 0.857 0.000
10 Tl 0.857 0.357 0.000

## Properties
Crystal system: tetragonal
Formation energy from the elements in eV/atom: 0.2569
E above lowest polymorph in eV/atom: 0.136

=====

No. 10
Material: Cs2AlTl2
Method: DFT, PBE
State: optimized geometry

a b c (Å): 7.844 7.844 6.578
angles (deg): 90.00 90.00 90.00
Fractional positions:
1 Cs 0.177 0.323 0.000
2 Cs 0.323 0.823 0.000
3 Cs 0.677 0.177 0.000
4 Cs 0.823 0.677 0.000
5 Al 0.000 0.000 0.500
6 Al 0.500 0.500 0.500
7 Tl 0.147 0.647 0.500
8 Tl 0.353 0.147 0.500
9 Tl 0.647 0.853 0.500
10 Tl 0.853 0.353 0.500

## Properties
Crystal system: tetragonal
Formation energy from the elements in eV/atom: 0.1467

=====

No. 11
Material: Cs4AlTl4
Method: DFT, PBE
State: optimized geometry

a b c (Å): 11.821 11.821 11.821
angles (deg): 147.44 147.44 46.71
Fractional positions:
1 Cs 0.111 0.111 0.519
2 Cs 0.408 0.889 0.000
3 Cs 0.592 0.592 0.481
4 Cs 0.889 0.408 0.000
5 Al 0.500 0.500 0.000
6 Tl 0.170 0.744 0.000
7 Tl 0.256 0.256 0.427
8 Tl 0.744 0.170 0.000
9 Tl 0.830 0.830 0.573

## Properties
Crystal system: tetragonal
Formation energy from the elements in eV/atom: 0.0417

=====

No. 12
Material: CsAl3Tl
Method: DFT, PBE
State: optimized geometry

a b c (Å): 5.664 5.664 5.664
angles (deg): 90.00 90.00 90.00
Fractional positions:
1 Cs 0.000 0.000 0.000
2 Al 0.000 0.500 0.500
3 Al 0.500 0.000 0.500
4 Al 0.500 0.500 0.000
5 Tl 0.500 0.500 0.500

## Properties
Crystal system: cubic
Formation energy from the elements in eV/atom: 0.7066
E above lowest polymorph in eV/atom: 0.000

=====

- formation energy from the elements of number 3 (CsAl2Tl2)?
  0.2359 eV/atom

=====

- The highest formation energy from the elements belongs to which entry?
  number 4

=====

- What is the formation energy from the elements in the tenth record?
  0.1467 eV/atom